# 1
Ti3CrH | GGA-PBE | relaxed

Output
theoretical density: 5.1 g/cm³

extended XYZ file:
```
5
Lattice="-2.9761 2.6167 0.6270 -2.6663 -2.7420 -1.2124 -0.3622 -1.3160 3.7729" Properties=species:S:1:pos:R:3 pbc="T T T"
H 0.0000 0.0000 0.0000
Ti -1.3331 -1.3710 -0.6062
Ti -1.4881 1.3084 0.3135
Ti -0.1811 -0.6580 1.8864
Cr -3.0023 -0.7206 1.5937
```


# 2
Ti2CrH | GGA-PBE | relaxed

Output
theoretical density: 5.2 g/cm³

extended XYZ file:
```
4
Lattice="-1.5640 2.3409 0.9809 -1.5889 -0.2162 2.5133 3.8248 2.6057 4.4105" Properties=species:S:1:pos:R:3 pbc="T T T"
H 0.3359 2.3652 3.9523
Ti 0.2785 3.4601 5.7784
Ti 0.3934 1.2703 2.1262
Cr 0.0000 0.0000 0.0000
```


# 3
Ti2CrH | GGA-PBE | relaxed

Output
theoretical density: 4.9 g/cm³

extended XYZ file:
```
8
Lattice="5.7758 0.0000 0.0000 0.0000 5.7758 0.0000 2.8879 2.8879 3.0111" Properties=species:S:1:pos:R:3 pbc="T T T"
Ti 4.3319 4.8264 2.2583
Ti 1.9385 4.3319 0.7528
Ti 7.2198 6.7253 2.2583
Ti 3.8373 1.4440 0.7528
H 2.8879 2.8879 0.0000
H 2.8879 5.7758 1.5056
Cr 5.7758 2.8879 1.5056
Cr 0.0000 0.0000 0.0000
```


# 4
Ti2CrH | GGA-PBE | relaxed

Output
theoretical density: 4.9 g/cm³

extended XYZ file:
```
4
Lattice="-1.3235 -0.9000 -2.3866 -1.9247 -1.4119 1.5998 -3.5236 4.9167 0.1000" Properties=species:S:1:pos:R:3 pbc="T T T"
Ti -0.8630 1.2041 0.0245
Ti -2.6607 3.7126 0.0755
Cr -3.3859 1.3024 -0.3434
H -1.6241 -1.1559 -0.3934
```


Number 1: volume 64.6 Å³ per cell, DFT total energy -7.28 eV per atom, E above lowest polymorph 0.000 eV per atom. Number 2: volume 47.4 Å³ per cell, DFT total energy -7.19 eV per atom, E above lowest polymorph 0.000 eV per atom. Number 3: volume 100.5 Å³ per cell, DFT total energy -7.05 eV per atom, E above lowest polymorph 0.137 eV per atom. Number 4: volume 50.0 Å³ per cell, DFT total energy -6.95 eV per atom, E above lowest polymorph 0.236 eV per atom.